Record 1
{
  "formula": "RePtF3",
  "functional": "GGA-PBE",
  "state": "optimized geometry",
  "lattice": [[4.1660, 0.0000, 0.0000], [0.0000, 4.1660, 0.0000], [0.0000, 0.0000, 4.1660]],
  "species": ["Re", "Pt", "F", "F", "F"],
  "fractional_positions": [[0.0000, 0.0000, 0.0000], [0.5000, 0.5000, 0.5000], [0.0000, 0.5000, 0.0000], [0.0000, 0.0000, 0.5000], [0.5000, 0.0000, 0.0000]],
  "raw_formation_energy_ev_per_atom": -0.118,
  "vol_a3_per_atom": 14.5
}

---

Record 2
{
  "formula": "RePt3F",
  "functional": "GGA-PBE",
  "state": "optimized geometry",
  "lattice": [[-0.9120, -3.7656, -2.8670], [-0.6336, -2.7964, 3.8744], [-4.6903, 1.1100, 0.0341]],
  "species": ["Re", "Pt", "Pt", "Pt", "F"],
  "fractional_positions": [[0.0000, 0.0000, 0.0000], [0.0000, 0.5000, 0.0000], [0.0000, 0.0000, 0.5000], [0.5000, 0.0000, 0.0000], [0.5000, 0.5000, 0.5000]],
  "raw_formation_energy_ev_per_atom": 1.171,
  "vol_a3_per_atom": 22.4
}

---

Record 3
{
  "formula": "Re3PtF",
  "functional": "GGA-PBE",
  "state": "optimized geometry",
  "lattice": [[-3.4349, -2.0399, 1.2140], [-0.0372, -2.0888, -3.6151], [2.3735, -2.9849, 1.7002]],
  "species": ["Re", "Re", "Re", "Pt", "F"],
  "fractional_positions": [[0.0000, 0.5000, 0.0000], [0.0000, 0.0000, 0.5000], [0.5000, 0.0000, 0.0000], [0.5000, 0.5000, 0.5000], [0.0000, 0.0000, 0.0000]],
  "raw_formation_energy_ev_per_atom": 1.180,
  "vol_a3_per_atom": 14.6
}

---

Record 4
{
  "formula": "RePt3F",
  "functional": "GGA-PBE",
  "state": "optimized geometry",
  "lattice": [[-2.7922, 3.2337, -0.5947], [-3.2678, -2.6432, 0.9706], [0.3632, 1.0788, 4.1607]],
  "species": ["Re", "Pt", "Pt", "Pt", "F"],
  "fractional_positions": [[0.5000, 0.5000, 0.5000], [0.0000, 0.5000, 0.0000], [0.0000, 0.0000, 0.5000], [0.5000, 0.0000, 0.0000], [0.0000, 0.0000, 0.0000]],
  "raw_formation_energy_ev_per_atom": 1.145,
  "vol_a3_per_atom": 16.1
}

---

Record 5
{
  "formula": "RePtSF2",
  "functional": "GGA-PBE",
  "state": "optimized geometry",
  "lattice": [[-3.1286, -1.8863, 1.4623], [0.6757, -4.0278, -3.7501], [2.3381, -1.9378, 2.5026]],
  "species": ["Re", "S", "Pt", "F", "F"],
  "fractional_positions": [[0.0000, 0.5000, 0.0000], [0.5000, 0.5000, 0.5000], [0.0000, 0.0000, 0.0000], [0.0000, 0.0000, 0.5000], [0.5000, 0.0000, 0.0000]],
  "raw_formation_energy_ev_per_atom": 0.232,
  "vol_a3_per_atom": 17.2
}

---

Record 6
{
  "formula": "TlRePtF2",
  "functional": "GGA-PBE",
  "state": "optimized geometry",
  "lattice": [[4.2218, 0.0000, 0.0000], [0.0000, 5.6872, 0.0000], [0.0000, 0.0000, 4.2218]],
  "species": ["Re", "Tl", "Pt", "F", "F"],
  "fractional_positions": [[0.5000, 0.5000, 0.5000], [0.0000, 0.0000, 0.0000], [0.0000, 0.5000, 0.0000], [0.0000, 0.0000, 0.5000], [0.5000, 0.0000, 0.0000]],
  "raw_formation_energy_ev_per_atom": 0.259,
  "vol_a3_per_atom": 20.3
}

---

Record 7
{
  "formula": "YRe2PtF",
  "functional": "GGA-PBE",
  "state": "optimized geometry",
  "lattice": [[5.1244, 0.0000, 0.0000], [0.0000, 4.0611, 0.0000], [0.0000, 0.0000, 5.1244]],
  "species": ["Y", "Re", "Re", "Pt", "F"],
  "fractional_positions": [[0.0000, 0.0000, 0.0000], [0.0000, 0.0000, 0.5000], [0.5000, 0.0000, 0.0000], [0.5000, 0.5000, 0.5000], [0.0000, 0.5000, 0.0000]],
  "raw_formation_energy_ev_per_atom": 1.431,
  "vol_a3_per_atom": 21.3
}

---

Record 8
{
  "formula": "Pt2RhF",
  "functional": "GGA-PBE",
  "state": "optimized geometry",
  "lattice": [[6.7095, 0.0000, 0.0000], [0.0000, 6.7095, 0.0000], [3.3548, 3.3548, 2.6900]],
  "species": ["Rh", "Rh", "Pt", "Pt", "Pt", "Pt", "F", "F"],
  "fractional_positions": [[0.0000, 0.0000, 0.0000], [0.7500, 0.2500, 0.5000], [0.6049, 0.1250, 0.2500], [0.1451, 0.6250, 0.2500], [0.3750, 0.3951, 0.7500], [0.8750, 0.8549, 0.7500], [0.5000, 0.5000, 0.0000], [0.2500, 0.7500, 0.5000]],
  "raw_formation_energy_ev_per_atom": 0.306,
  "vol_a3_per_atom": 15.1
}